## Ho5TlIn3 (PBE)

Data for a relaxed structure of Ho5TlIn3.

## Properties
- Final energy: -74.24 eV for the cell shown

Unit cell a=6.641 b=9.279 c=9.279 alpha=120.00 beta=90.00 gamma=90.00
Positions (direct):
Ho  0.750  0.292  0.000
Ho  0.000  0.333  0.667
Ho  0.250  0.292  0.292
Ho  0.750  0.000  0.292
Ho  0.500  0.333  0.667
Ho  0.250  0.000  0.708
Ho  0.750  0.708  0.708
Ho  0.500  0.667  0.333
Ho  0.000  0.667  0.333
Ho  0.250  0.708  0.000
In  0.250  0.628  0.628
In  0.750  0.628  0.000
In  0.250  0.000  0.372
In  0.750  0.372  0.372
In  0.250  0.372  0.000
In  0.750  0.000  0.628
Tl  0.500  0.000  0.000
Tl  0.000  0.000  0.000

***

## Tb3Al2Hg3 (PBE)

Data for a relaxed structure of Tb3Al2Hg3.

## Properties
- Final energy: -51.52 eV for the cell shown

Unit cell a=4.541 b=6.012 c=15.207 alpha=90.00 beta=90.00 gamma=112.19
Positions (direct):
Tb  0.918  0.837  0.390
Tb  0.363  0.726  0.750
Tb  0.918  0.837  0.110
Tb  0.082  0.163  0.890
Tb  0.082  0.163  0.610
Tb  0.637  0.274  0.250
Hg  0.623  0.247  0.463
Hg  0.623  0.247  0.037
Hg  0.377  0.753  0.963
Hg  0.642  0.283  0.750
Hg  0.358  0.717  0.250
Hg  0.377  0.753  0.537
Al  0.208  0.417  0.393
Al  0.792  0.583  0.893
Al  0.792  0.583  0.607
Al  0.208  0.417  0.107

***

## Os2RuCl (PBE)

Data for a relaxed structure of Os2RuCl.

## Properties
- Distance to the lowest polymorph of the same formula: 0.0 kJ/mol of atoms

Unit cell a=8.751 b=8.751 c=8.751 alpha=18.45 beta=18.45 gamma=18.45
Positions (direct):
Os  0.250  0.250  0.250
Os  0.998  0.998  0.998
Cl  0.753  0.753  0.753
Ru  0.500  0.500  0.500